Entry 1:
DFT (PBE-GGA) results for PuAsCl after structural relaxation.

Values from the calculation:
- Density of states at the Fermi level: 23.0 states/eV/cell
- Uncorrected formation energy: -0.925 eV per atom
- Calculated density: 7.730 g cm⁻³
- Crystal system: cubic

Lattice parameters (Å, degrees): 6.7276 6.7276 6.7276 90.00 90.00 90.00
Last column: nearest neighbours and their distance in Å.
Space group F-43m (No. 216)
Asymmetric unit:
Pu: 0.0000 0.0000 0.0000 x4  4 As 2.91, 4 Cl 2.91
As: 0.2500 0.2500 0.7500 x4  4 Pu 2.91
Cl: 0.2500 0.2500 0.2500 x4  4 Pu 2.91

---

Entry 2:
DFT (PBE-GGA) results for PuPa2In after structural relaxation.

Values from the calculation:
- E above lowest polymorph: 272.7 meV per atom
- Density of states at the Fermi level: 20.6 states/eV/cell
- Calculated density: 14.271 g cm⁻³
- Crystal system: trigonal

Lattice parameters (Å, degrees): 3.5653 3.5653 26.0305 90.00 90.00 120.00
Last column: nearest neighbours and their distance in Å.
Space group R3m (No. 160, hexagonal axes)
Asymmetric unit:
Pu: 0.0000 0.0000 0.0000 x3  6 Pa 2.55-2.78
Pa: 0.0000 0.0000 0.4051 x3  3 Pu 2.78
Pa: 0.0000 0.0000 0.6089 x3  3 Pu 2.55
In: 0.0000 0.0000 0.1728 x3  6 Pa 3.34-3.37, 6 In 3.57

---

Entry 3:
DFT (PBE-GGA) results for ErTl2Te3 after structural relaxation.

Values from the calculation:
- Density of states at the Fermi level: 14.5 states/eV/cell
- Uncorrected formation energy: -0.717 eV per atom
- Calculated density: 7.638 g cm⁻³
- Crystal system: monoclinic

Lattice parameters (Å, degrees): 7.7987 13.6182 8.2346 90.00 107.56 90.00
Last column: nearest neighbours and their distance in Å.
Space group C2/m (No. 12)
Asymmetric unit:
Er: 0.0000 0.1706 0.0000 x4  6 Te 3.06-3.11
Tl: 0.0000 0.0000 0.5000 x2  6 Te 3.31-3.47
Tl: 0.0000 0.3370 0.5000 x4  6 Te 3.34-3.48
Tl: 0.0000 0.5000 0.0000 x2  6 Te 3.19-3.27
Te: 0.2212 0.0000 0.2143 x4  2 Er 3.11, 2 Tl 3.19-3.31
Te: 0.2493 0.3249 0.2235 x8  2 Er 3.06-3.07, 3 Tl 3.27-3.42

---

Entry 4:
DFT (PBE-GGA) results for P2RhSN after structural relaxation.

Values from the calculation:
- E above lowest polymorph: 887.3 meV per atom
- Density of states at the Fermi level: 6.4 states/eV/cell
- Uncorrected formation energy: 1.748 eV per atom
- Calculated density: 3.695 g cm⁻³
- Crystal system: tetragonal

Lattice parameters (Å, degrees): 4.4869 4.4869 4.7086 90.00 90.00 90.00
Last column: nearest neighbours and their distance in Å.
Space group P4/mmm (No. 123)
Asymmetric unit:
P: 0.0000 0.5000 0.0000 x2  2 Rh 2.24
Rh: 0.0000 0.0000 0.0000 x1  4 P 2.24, 2 S 2.35
S: 0.0000 0.0000 0.5000 x1  2 Rh 2.35
N: 0.5000 0.5000 0.5000 x1  4 S 3.17, 8 P 3.25

---

Entry 5:
DFT (PBE-GGA) results for CrSi2W after structural relaxation.

Values from the calculation:
- E above lowest polymorph: 169.2 meV per atom
- Density of states at the Fermi level: 4.5 states/eV/cell
- Uncorrected formation energy: -0.093 eV per atom
- Calculated density: 9.032 g cm⁻³
- Crystal system: orthorhombic

Lattice parameters (Å, degrees): 4.0695 2.9988 8.7978 90.00 90.00 90.00
Last column: nearest neighbours and their distance in Å.
Space group Amm2 (No. 38)
Asymmetric unit:
Cr: 0.0000 0.0000 0.0000 x2  7 Si 2.45-2.56
Si: 0.0000 0.0000 0.7217 x2  3 Cr 2.45-2.46, 2 Si 2.54, 4 W 2.57
Si: 0.5000 0.0000 0.5485 x2  3 W 2.39-2.50, 2 Si 2.54, 4 Cr 2.56
W: 0.5000 0.0000 0.2765 x2  7 Si 2.39-2.57

---

Entry 6:
DFT (PBE-GGA) results for LaZn2GaCu4 after structural relaxation.

Values from the calculation:
- Density of states at the Fermi level: 14.6 states/eV/cell
- Calculated density: 7.362 g cm⁻³
- Final energy: -3.501 eV/atom
- Crystal system: trigonal

Lattice parameters (Å, degrees): 4.2015 4.2015 26.2753 90.00 90.00 120.00
Last column: nearest neighbours and their distance in Å.
Space group R-3m (No. 166, hexagonal axes)
Asymmetric unit:
La: 0.0000 0.0000 0.0000 x3  6 Cu 3.10, 6 Zn 3.44
Zn: 0.0000 0.0000 0.2405 x6  6 Cu 2.48-2.64
Ga: 0.0000 0.0000 0.5000 x3  8 Cu 2.45-2.59
Cu: 0.0000 0.0000 0.1322 x6  3 Ga 2.59, 4 Zn 2.64-2.85, 3 Cu 2.87
Cu: 0.0000 0.0000 0.4068 x6  1 Ga 2.45, 3 Zn 2.48

---

Entry 7:
DFT (PBE-GGA) results for LiNbCd3 after structural relaxation.

Values from the calculation:
- E above lowest polymorph: 261.2 meV per atom
- Density of states at the Fermi level: 4.3 states/eV/cell
- Calculated density: 4.337 g cm⁻³
- Crystal system: cubic

Lattice parameters (Å, degrees): 5.5107 5.5107 5.5107 90.00 90.00 90.00
Last column: nearest neighbours and their distance in Å.
Space group Pm-3m (No. 221)
Asymmetric unit:
Li: 0.0000 0.0000 0.0000 x1  12 Cd 3.90
Nb: 0.5000 0.5000 0.5000 x1  6 Cd 2.76
Cd: 0.0000 0.5000 0.5000 x3  2 Nb 2.76

---

Entry 8:
DFT (PBE-GGA) results for TlPt2W after structural relaxation.

Values from the calculation:
- E above lowest polymorph: 286.7 meV per atom
- Density of states at the Fermi level: 3.1 states/eV/cell
- Calculated density: 18.508 g cm⁻³
- Crystal system: tetragonal

Lattice parameters (Å, degrees): 2.9502 2.9502 8.0241 90.00 90.00 90.00
Last column: nearest neighbours and their distance in Å.
Space group P4mm (No. 99)
Asymmetric unit:
Tl: 0.0000 0.0000 0.0000 x1  4 Pt 2.94, 4 Tl 2.95, 4 W 3.05
Pt: 0.0000 0.0000 0.4876 x1  4 W 2.69, 8 Pt 2.91-2.95
Pt: 0.5000 0.5000 0.7410 x1  8 Pt 2.91-2.95, 4 Tl 2.94
W: 0.5000 0.5000 0.2766 x1  4 Pt 2.69, 4 W 2.95